(1)
This record from Alexandria via LeMat-Bulk describes a relaxed structure of CaTe2O7. The functional is GGA-PBE.

Properties
The calculation puts the formation energy without anion corrections at -1193 meV/atom. Its space-group type is P2_1, No. 4. Its total energy is -5.492 eV per atom.

Lattice parameters (Å, degrees): 7.511 7.299 7.584 72.79 90.00 90.00
Element x y z (fractional)
O (0.294, 0.316, 0.055)
O (0.643, 0.026, 0.050)
O (0.080, 0.600, 0.288)
O (0.929, 0.220, 0.621)
O (0.580, 0.400, 0.712)
O (0.582, 0.006, 0.669)
O (0.429, 0.780, 0.379)
O (0.143, 0.974, 0.950)
O (0.611, 0.331, 0.340)
O (0.082, 0.994, 0.331)
O (0.794, 0.684, 0.945)
O (0.425, 0.681, 0.966)
O (0.925, 0.319, 0.034)
O (0.111, 0.669, 0.660)
Te (0.694, 0.268, 0.575)
Te (0.110, 0.147, 0.077)
Te (0.194, 0.732, 0.425)
Te (0.610, 0.853, 0.923)
Ca (0.608, 0.359, 0.029)
Ca (0.108, 0.641, 0.971)


(2)
This record from Alexandria via LeMat-Bulk describes a relaxed structure of TlCrFe2. The functional is GGA-PBE.

Properties
Its space-group type is Fm-3m, No. 225. Its total energy is -6.507 eV per atom. The calculation puts the energy of formation at 0.7221 eV per atom.

Lattice parameters (Å, degrees): 4.256 4.256 4.256 60.00 60.00 60.00
Element x y z (fractional)
Cr (0.000, 0.000, 0.000)
Fe (0.750, 0.750, 0.750)
Fe (0.250, 0.250, 0.250)
Tl (0.500, 0.500, 0.500)


(3)
This record from Alexandria via LeMat-Bulk describes a relaxed structure of Sr3Li8Ag. The functional is GGA-PBE.

Properties
Its space-group type is R3m, No. 160. Its total energy is -1.916 eV per atom. The calculation puts the energy of formation at 0.0179 eV per atom.

Lattice parameters (Å, degrees): 6.180 6.180 10.577 73.01 73.01 60.00
Element x y z (fractional)
Sr (0.016, 0.016, 0.952)
Sr (0.623, 0.623, 0.130)
Sr (0.491, 0.491, 0.528)
Li (0.810, 0.810, 0.570)
Li (0.314, 0.314, 0.058)
Li (0.570, 0.056, 0.804)
Li (0.546, 0.060, 0.334)
Li (0.570, 0.570, 0.804)
Li (0.060, 0.060, 0.334)
Li (0.056, 0.570, 0.804)
Li (0.060, 0.546, 0.334)
Ag (0.134, 0.134, 0.598)